Record 1
The following is a GGA-PBE calculation of Sm2Be3AlNi12 after structural relaxation, from Alexandria via LeMat-Bulk.

The structure belongs to space group R-3m (No. 166, hexagonal axes); the cell edges are 7.4552, 7.4552 and 15.9315 Å and the angles 90.00°, 90.00° and 120.00°. The inequivalent atoms are Sm at (0.0000, 0.0000, 0.1059), Be at (0.0000, 0.5000, 0.0000), Al at (0.0000, 0.0000, 0.5000), Ni at (0.0111, 0.5055, 0.8720) and Ni at (0.0462, 0.5231, 0.3635).

As for the total magnetization: 0.0 μB per cell. As for the raw total energy: -272.02 eV/cell. The value obtained for the energy of formation is 3.1 eV per formula unit.


Record 2
The following is a GGA-PBE calculation of NdSm3Te6 after structural relaxation, from Alexandria via LeMat-Bulk.

The structure belongs to space group C2/m (No. 12); the cell edges are 14.075, 8.591 and 7.699 Å and the angles 90.00°, 122.94° and 90.00°. The inequivalent atoms are Nd at (0.000, 0.000, 0.000), Sm at (0.000, 0.500, 0.500), Sm at (0.250, 0.000, 0.678), Te at (0.090, 0.251, 0.342) and Te at (0.248, 0.500, 0.924).

As for the total magnetization: 0.0 μB per cell. As for the raw total energy: -100.53 eV/cell. For the excess energy over the best structure of this formula in the dataset, the calculation gives 172.8 meV per atom.


Record 3
The following is a GGA-PBE calculation of Na2AlAuF6 after structural relaxation, from Alexandria via LeMat-Bulk.

The structure belongs to space group Fm-3m (No. 225); the cell edges are 8.488, 8.488 and 8.488 Å and the angles 90.00°, 90.00° and 90.00°. The inequivalent atoms are Na at (0.250, 0.250, 0.250), Al at (0.000, 0.000, 0.000), Au at (0.000, 0.000, 0.500) and F at (0.000, 0.000, 0.214).

As for the total magnetization: 0.0 μB per cell. As for the raw total energy: -181.36 eV/cell.


Record 4
The following is a GGA-PBE calculation of TbPr2Nd6Dy after structural relaxation, from Alexandria via LeMat-Bulk.

The structure belongs to space group C2/c (No. 15); the cell edges are 9.251, 15.430 and 9.937 Å and the angles 90.00°, 98.90° and 90.00°. The inequivalent atoms are Tb at (0.000, 0.019, 0.250), Pr at (0.244, 0.050, 0.542), Nd at (0.064, 0.186, 0.945), Nd at (0.103, 0.396, 0.120), Nd at (0.204, 0.221, 0.310) and Dy at (0.000, 0.408, 0.750).

As for the total magnetization: 0.0 μB per cell. As for the raw total energy: -185.05 eV/cell. The value obtained for the energy of formation is 1.1 eV per formula unit.